Below is a relaxed TbZnHgPt crystal, with properties calculated at the PBE level.

Unit cell a=6.8574 b=6.8574 c=6.8574 alpha=90.00 beta=90.00 gamma=90.00
Closest atoms and distances in Å follow each position.
Space group F-43m (No. 216)
Unique sites:
Tb 0.0000 0.0000 0.0000 (multiplicity 4)  4 Pt 2.97, 4 Hg 2.97
Zn 0.0000 0.0000 0.5000 (multiplicity 4)  4 Hg 2.97, 4 Pt 2.97
Hg 0.2500 0.2500 0.2500 (multiplicity 4)  4 Tb 2.97, 4 Zn 2.97
Pt 0.2500 0.2500 0.7500 (multiplicity 4)  4 Tb 2.97, 4 Zn 2.97

## Properties
calculated volume = 20.15 A^3/atom
raw total energy = -3.612 eV per atom